No. 1
Below is an optimized crystal structure of NbAlP2S, with properties calculated at the PBE level.

```
NbAlP2S
1.0
4.890 0.000 0.000
0.000 4.890 0.000
0.000 0.000 4.737
S Al P Nb
1 1 2 1
direct
0.000 0.000 0.500 S
0.500 0.500 0.500 Al
0.000 0.500 0.000 P
0.500 0.000 0.000 P
0.000 0.000 0.000 Nb
```

Output
The energy above the most stable polymorph in this dataset comes out at 0.0000 eV/atom.

No. 2
Below is an optimized crystal structure of CsIn2I6, with properties calculated at the PBE level.

```
CsIn2I6
1.0
9.460 0.640 0.619
3.505 11.045 0.481
3.505 0.839 11.024
In Cs I
4 2 12
direct
0.171 0.196 0.371 In
0.671 0.371 0.196 In
0.329 0.629 0.804 In
0.829 0.804 0.629 In
0.750 0.829 0.171 Cs
0.250 0.171 0.829 Cs
0.359 0.354 0.358 I
0.657 0.590 0.043 I
0.141 0.642 0.646 I
0.322 0.052 0.166 I
0.859 0.358 0.354 I
0.157 0.043 0.590 I
0.678 0.948 0.834 I
0.822 0.166 0.052 I
0.641 0.646 0.642 I
0.843 0.957 0.410 I
0.343 0.410 0.957 I
0.178 0.834 0.948 I
```

Output
As for the calculated total energy: -2.427 eV/atom.

No. 3
Below is an optimized crystal structure of Ge2B2Se, with properties calculated at the PBE level.

```
Ge2B2Se
1.0
6.827 0.000 0.000
0.000 6.827 0.000
0.000 0.000 3.601
B Se Ge
4 2 4
direct
0.276 0.224 0.000 B
0.776 0.276 0.000 B
0.724 0.776 0.000 B
0.224 0.724 0.000 B
0.500 0.500 0.000 Se
0.000 0.000 0.000 Se
0.129 0.629 0.500 Ge
0.629 0.871 0.500 Ge
0.871 0.371 0.500 Ge
0.371 0.129 0.500 Ge
```

Output
The energy above the most stable polymorph in this dataset comes out at 0.1906 eV/atom.

Please write out number 1 again, unchanged.
Below is an optimized crystal structure of NbAlP2S, with properties calculated at the PBE level.

```
NbAlP2S
1.0
4.890 0.000 0.000
0.000 4.890 0.000
0.000 0.000 4.737
S Al P Nb
1 1 2 1
direct
0.000 0.000 0.500 S
0.500 0.500 0.500 Al
0.000 0.500 0.000 P
0.500 0.000 0.000 P
0.000 0.000 0.000 Nb
```

Output
The energy above the most stable polymorph in this dataset comes out at 0.0000 eV/atom.